[1]
A plane-wave DFT calculation with GGA-PBE was carried out for TaNiP2S after structural relaxation.

Properties
SG	No. 123
ΔE to the lowest computed polymorph	0	meV/atom
uncorrected energy	-0.433	Ry per atom
energy relative to the elements, uncorrected	0.631	eV/atom

```
TaNiP2S
1.0
4.278 0.000 0.000
0.000 4.278 0.000
0.000 0.000 4.440
P Ta S Ni
2 1 1 1
Direct
0.500 0.000 0.000 P
0.000 0.500 0.000 P
0.500 0.500 0.500 Ta
0.000 0.000 0.500 S
0.000 0.000 0.000 Ni
```

[2]
A plane-wave DFT calculation with GGA-PBE was carried out for Be2P after structural relaxation.

Properties
SG	No. 12
ΔE to the lowest computed polymorph	286	meV/atom
uncorrected energy	-0.304	Ry per atom

```
Be2P
1.0
0.118 -5.073 -2.314
1.051 -5.477 -0.076
-4.578 -2.200 1.511
Be P
4 2
Direct
0.553 0.553 0.629 Be
0.859 0.859 0.742 Be
0.141 0.141 0.258 Be
0.447 0.447 0.371 Be
0.164 0.164 0.836 P
0.836 0.836 0.164 P
```